# ThInTc4, optimized geometry, DFT PBE
# DFT formation energy in eV/atom: 0.091
# Uncorrected energy in eV/atom: -8.512
# D(E_F) in states/eV per atom: 1.5096
# M_tot in μB per atom: 0.0001
# Mass density in g/cm3: 10.9
data_ThInTc4
_symmetry_space_group_name_H-M 'F -4 3 m'
_symmetry_Int_Tables_number 216
_symmetry_space_group_name_Hall 'F -4 2 3'
_cell_length_a 7.653
_cell_length_b 7.653
_cell_length_c 7.653
_cell_angle_alpha 90.00
_cell_angle_beta 90.00
_cell_angle_gamma 90.00
loop_
_atom_site_label
_atom_site_type_symbol
_atom_site_fract_x
_atom_site_fract_y
_atom_site_fract_z
_atom_site_occupancy
Th1 Th 0.000 0.000 0.000 1
In1 In 0.250 0.250 0.250 1
Tc1 Tc 0.123 0.123 0.623 1